# 1
Density functional theory data (GGA-PBE) for a relaxed BeZn2Mo crystal.

Lattice parameters (Å, degrees): 2.7576 2.7576 6.9110 90.00 90.00 90.00
Space group P4mm (No. 99)
Inequivalent atoms, fractional coordinates:
Be  0.0000  0.0000  0.0000
Zn  0.0000  0.0000  0.5274
Zn  0.5000  0.5000  0.7967
Mo  0.5000  0.5000  0.2373

Output
The formation energy from the elements is 119 meV per atom. The calculation puts the size of the total moment at 0.000 μB/atom. As for the total energy: -16.63 eV/cell.

# 2
Density functional theory data (GGA-PBE) for a relaxed Mg2BeNi2 crystal.

Lattice parameters (Å, degrees): 3.7243 3.7243 11.3342 90.00 90.00 90.00
Space group I4/mmm (No. 139)
Inequivalent atoms, fractional coordinates:
Mg  0.0000  0.5000  0.2500
Be  0.0000  0.0000  0.0000
Ni  0.0000  0.0000  0.4036

Output
The formation energy from the elements is 538 meV per atom. The calculation puts the size of the total moment at 0.000 μB/atom. As for the total energy: -31.58 eV/cell. Its energy above the most stable polymorph in this dataset is 0.6936 eV per atom.

# 3
Density functional theory data (GGA-PBE) for a relaxed LiTm8Sn2 crystal.

Lattice parameters (Å, degrees): 17.3700 5.1174 6.8948 90.00 99.27 90.00
Space group C2/m (No. 12)
Inequivalent atoms, fractional coordinates:
Li  0.0000  0.0000  0.0000
Tm  0.0255  0.5000  0.7561
Tm  0.0946  0.0000  0.4542
Tm  0.1584  0.0000  0.9429
Tm  0.1799  0.5000  0.2540
Sn  0.2052  0.5000  0.7141

Output
The formation energy from the elements is -213 meV per atom. The calculation puts the size of the total moment at 0.000 μB/atom. As for the total energy: -96.07 eV/cell.